This record from Alexandria describes a relaxed structure of Pt2RhAu. The functional is PBE-GGA.

a = 3.9737 Å, b = 3.9737 Å, c = 8.0460 Å
α = 90.00°, β = 90.00°, γ = 90.00°
Space group I4/mmm (No. 139)
Unique sites:
Pt (0.0000, 0.5000, 0.2500) x4
Rh (0.0000, 0.0000, 0.0000) x2
Au (0.0000, 0.0000, 0.5000) x2

Fermi-level density of states = 1.44 states/eV/atom
Spin magnetization = 0.347 μB/atom
Total DFT energy (no corrections) = -5.6009 eV/atom
Crystal system = tetragonal
Formation energy from the elements = 0.08 eV/atom